Computed, not measured: a relaxed structure of La2HIF at the PBE level of DFT.

Summary:
Symmetry: No. 123
Calculated total energy, eV/atom: -4.438

Unit cell a=4.876 b=4.876 c=4.711 alpha=90.00 beta=90.00 gamma=90.00
Sites, in units of the cell vectors:
La 0.000 0.500 0.000
La 0.500 0.000 0.000
H 0.000 0.000 0.000
I 0.500 0.500 0.500
F 0.000 0.000 0.500